No. 1
A geometry-optimized HfReAs2Se structure. Source: Alexandria, functional PBE-GGA.

POSCAR file:
```
HfReAs2Se
1.0
5.1724 0.0000 0.0000
0.0000 5.1724 0.0000
0.0000 0.0000 5.0110
Hf Re As Se
1 1 2 1
direct
0.0000 0.0000 0.0000 Hf
0.5000 0.5000 0.5000 Re
0.0000 0.5000 0.0000 As
0.5000 0.0000 0.0000 As
0.0000 0.0000 0.5000 Se
```

Summary:
Its density of states at the Fermi level is 3.890 states/eV/f.u. The total magnetization is 3.96 μB per formula unit. Its polymorph energy (0 for the lowest one) is 1.97 eV per formula unit. Its uncorrected formation energy is 1081 meV per atom.

---

No. 2
A geometry-optimized Mg6AgAu5 structure. Source: Alexandria, functional PBE-GGA.

POSCAR file:
```
Mg6AgAu5
1.0
2.3234 -6.9660 0.0000
2.3234 6.9660 0.0000
0.0000 0.0000 6.7049
Mg Ag Au
6 1 5
direct
0.0000 0.0000 0.2430 Mg
0.0000 0.0000 0.7570 Mg
0.3309 0.6691 0.2504 Mg
0.3309 0.6691 0.7496 Mg
0.6691 0.3309 0.2504 Mg
0.6691 0.3309 0.7496 Mg
0.5000 0.5000 0.5000 Ag
0.1603 0.8397 0.5000 Au
0.1674 0.8326 0.0000 Au
0.5000 0.5000 0.0000 Au
0.8326 0.1674 0.0000 Au
0.8397 0.1603 0.5000 Au
```

Summary:
Its density of states at the Fermi level is 2.637 states/eV/f.u. The total magnetization is 0.00 μB per formula unit. The calculation puts the formation energy at -555 meV/atom.

---

No. 3
A geometry-optimized Tb6Nd2Tl structure. Source: Alexandria, functional PBE-GGA.

POSCAR file:
```
Tb6Nd2Tl
1.0
6.5991 0.0000 0.0000
-0.7948 9.0107 0.0000
-1.8439 -3.1881 9.5866
Tb Nd Tl
12 4 2
direct
0.0384 0.3117 0.4372 Tb
0.1347 0.3600 0.1233 Tb
0.2067 0.9606 0.8914 Tb
0.2674 0.0205 0.5567 Tb
0.4203 0.6453 0.4338 Tb
0.4371 0.6903 0.0894 Tb
0.5629 0.3097 0.9106 Tb
0.5797 0.3547 0.5662 Tb
0.7326 0.9795 0.4433 Tb
0.7933 0.0394 0.1086 Tb
0.8653 0.6400 0.8767 Tb
0.9616 0.6883 0.5628 Tb
0.0151 0.2753 0.7673 Nd
0.3382 0.0825 0.2439 Nd
0.6618 0.9175 0.7561 Nd
0.9849 0.7247 0.2327 Nd
0.3345 0.5906 0.7547 Tl
0.6655 0.4094 0.2453 Tl
```

Summary:
Its density of states at the Fermi level is 9.918 states/eV/f.u. The total magnetization is 0.00 μB per formula unit. The calculation puts the formation energy at -71 meV/atom. Its polymorph energy (0 for the lowest one) is 0.00 eV per formula unit.

---

No. 4
A geometry-optimized Ba2MgAl3Ag4 structure. Source: Alexandria, functional PBE-GGA.

POSCAR file:
```
Ba2MgAl3Ag4
1.0
4.6512 0.0000 0.0000
0.0000 4.6512 0.0000
0.0000 0.0000 11.4615
Ba Mg Al Ag
2 1 3 4
direct
0.0000 0.5000 0.2428 Ba
0.5000 0.0000 0.7572 Ba
0.0000 0.0000 0.5000 Mg
0.0000 0.5000 0.8826 Al
0.5000 0.0000 0.1174 Al
0.5000 0.5000 0.5000 Al
0.0000 0.0000 0.0000 Ag
0.0000 0.5000 0.6373 Ag
0.5000 0.0000 0.3627 Ag
0.5000 0.5000 0.0000 Ag
```

Summary:
Its density of states at the Fermi level is 6.908 states/eV/f.u. The total magnetization is 0.00 μB per formula unit. The calculation puts the formation energy at -212 meV/atom.